[1]
Here is Ac4Ge5Ir3 after structural relaxation from Alexandria. Energies are from PBE.

Lattice parameters (Å, degrees): 7.739 7.739 9.806 111.17 111.17 35.74
Atoms (fractional coordinates):
1 Ac 0.045 0.045 0.315
2 Ac 0.240 0.240 0.825
3 Ac 0.760 0.760 0.175
4 Ac 0.955 0.955 0.685
5 Ge 0.287 0.287 0.516
6 Ge 0.412 0.412 0.400
7 Ge 0.500 0.500 0.000
8 Ge 0.588 0.588 0.600
9 Ge 0.713 0.713 0.484
10 Ir 0.000 0.000 0.000
11 Ir 0.394 0.394 0.142
12 Ir 0.606 0.606 0.858

## Properties
Symmetry ... C2/m (12)
DFT formation energy ... -6.22 eV/f.u.
Total moment ... 0.00 μB per formula unit
Calculated volume ... 26.4 Å³ per atom

=====

[2]
Here is Ac8Ge5Ir after structural relaxation from Alexandria. Energies are from PBE.

Lattice parameters (Å, degrees): 8.411 8.411 8.411 109.96 109.96 108.49
Atoms (fractional coordinates):
1 Ac 0.003 0.124 0.754
2 Ac 0.259 0.496 0.638
3 Ac 0.370 0.249 0.246
4 Ac 0.379 0.741 0.237
5 Ac 0.504 0.142 0.763
6 Ac 0.751 0.997 0.121
7 Ac 0.858 0.621 0.362
8 Ac 0.876 0.630 0.879
9 Ge 0.005 0.375 0.133
10 Ge 0.128 0.995 0.371
11 Ge 0.243 0.872 0.867
12 Ge 0.625 0.757 0.629
13 Ge 0.750 0.250 0.500
14 Ir 0.500 0.500 0.000

## Properties
Symmetry ... I-4 (82)
DFT formation energy ... -9.32 eV/f.u.
Total moment ... 0.00 μB per formula unit
Calculated volume ... 32.7 Å³ per atom

=====

[3]
Here is AcGe3Ir after structural relaxation from Alexandria. Energies are from PBE.

Lattice parameters (Å, degrees): 6.042 6.042 6.042 135.83 135.83 64.25
Atoms (fractional coordinates):
1 Ac 0.000 0.000 0.000
2 Ge 0.259 0.759 0.500
3 Ge 0.416 0.416 0.000
4 Ge 0.759 0.259 0.500
5 Ir 0.656 0.656 0.000

## Properties
Symmetry ... I4mm (107)
DFT formation energy ... -3.48 eV/f.u.
Total moment ... 0.00 μB per formula unit
Calculated volume ... 21.1 Å³ per atom

=====

[4]
Here is Ac3Ge3Ir2 after structural relaxation from Alexandria. Energies are from PBE.

Lattice parameters (Å, degrees): 6.234 6.234 16.279 90.00 90.00 139.33
Atoms (fractional coordinates):
1 Ac 0.069 0.931 0.750
2 Ac 0.349 0.651 0.593
3 Ac 0.349 0.651 0.907
4 Ac 0.651 0.349 0.093
5 Ac 0.651 0.349 0.407
6 Ac 0.931 0.069 0.250
7 Ge 0.075 0.925 0.555
8 Ge 0.075 0.925 0.945
9 Ge 0.221 0.779 0.250
10 Ge 0.779 0.221 0.750
11 Ge 0.925 0.075 0.055
12 Ge 0.925 0.075 0.445
13 Ir 0.355 0.645 0.120
14 Ir 0.355 0.645 0.380
15 Ir 0.645 0.355 0.620
16 Ir 0.645 0.355 0.880

## Properties
Symmetry ... Cmcm (63)
DFT formation energy ... -6.14 eV/f.u.
Total moment ... 0.00 μB per formula unit
Calculated volume ... 25.8 Å³ per atom